Density functional theory data (GGA-PBE) for an optimized crystal structure of Ta2PtCl2.

```
5
Lattice="-2.223 2.223 4.454 2.223 -2.223 4.454 2.223 2.223 -4.454" Properties=species:S:1:pos:R:3 pbc="T T T"
Ta 2.223 0.000 2.227
Ta 0.000 2.223 2.227
Pt 0.000 0.000 0.000
Cl 0.000 0.000 3.184
Cl 0.000 0.000 5.723
```

Properties
- Symmetry: I4/mmm
- E_form (uncorrected): 0.340 eV/atom
- DOS at the Fermi energy: 4.5 states/eV/cell
- Spin magnetization: 0.00 μB per cell
- Crystal system: tetragonal
- E above lowest polymorph: 0 meV/atom